Computed, not measured: Ba6NaPtAu after structural relaxation at the PBE level of DFT.

Summary:
Formation energy (kJ per mole of atoms): -34.7

a b c (Å): 8.382 8.382 7.936
angles (deg): 90.00 90.00 120.00
Sites, in units of the cell vectors:
Ba (0.041, 0.345, 0.228)
Ba (0.041, 0.696, 0.772)
Ba (0.304, 0.345, 0.772)
Ba (0.304, 0.959, 0.228)
Ba (0.655, 0.696, 0.228)
Ba (0.655, 0.959, 0.772)
Na (0.667, 0.333, 0.500)
Pt (0.333, 0.667, 0.000)
Au (0.000, 0.000, 0.000)